DFT (GGA-PBE) results for an optimized crystal structure of FeMoRh2.

- Total magnetic moment: 2.5 Bohr magnetons per cell
- E: -34.25 eV for the cell shown
- Symmetry: No. 65
- DOS at the Fermi energy: 0.9993 states/eV/atom
- Distance to the lowest polymorph of the same formula: 31 kJ/mol of formula units
- DFT formation energy: -63 meV/atom
- ρ: 10.543 g/cm3

Unit cell a=4.657 b=4.657 c=2.737 alpha=90.00 beta=90.00 gamma=108.42
Last column: magnetic moment on the atom in μB.
Positions (direct):
Fe 0.500 0.000 0.500  2.60
Mo 0.000 0.500 0.500  -0.24
Rh 0.000 0.000 0.000  0.11
Rh 0.500 0.500 0.000  0.11


DFT (GGA-PBE) results for an optimized crystal structure of Ho2Al4Zn3Pd.

- Total magnetic moment: 0.0 Bohr magnetons per cell
- E: -37.89 eV for the cell shown
- Symmetry: No. 115
- DOS at the Fermi energy: 0.4131 states/eV/atom
- DFT formation energy: -475 meV/atom
- ρ: 6.688 g/cm3

Unit cell a=4.093 b=4.093 c=10.974 alpha=90.00 beta=90.00 gamma=90.00
Positions (direct):
Ho 0.500 0.000 0.246
Ho 0.000 0.500 0.754
Al 0.500 0.500 0.000
Al 0.000 0.000 0.000
Al 0.500 0.000 0.636
Al 0.000 0.500 0.364
Zn 0.000 0.000 0.500
Zn 0.500 0.000 0.858
Zn 0.000 0.500 0.142
Pd 0.500 0.500 0.500


DFT (GGA-PBE) results for an optimized crystal structure of Al2CoReSn.

- Total magnetic moment: 0.0 Bohr magnetons per cell
- E: -28.68 eV for the cell shown
- Symmetry: No. 123
- DOS at the Fermi energy: 0.8201 states/eV/atom
- DFT formation energy: 473 meV/atom
- ρ: 7.725 g/cm3

Unit cell a=4.423 b=4.590 c=4.423 alpha=90.00 beta=90.00 gamma=90.00
Positions (direct):
Re 0.000 0.500 0.000
Co 0.000 0.000 0.000
Sn 0.500 0.500 0.500
Al 0.000 0.000 0.500
Al 0.500 0.000 0.000


DFT (GGA-PBE) results for an optimized crystal structure of CaSiP2.

- Total magnetic moment: 0.0 Bohr magnetons per cell
- E: -19.48 eV for the cell shown
- Symmetry: No. 8
- DOS at the Fermi energy: 0.1789 states/eV/atom
- Formation energy without anion corrections: -309 meV per atom
- ρ: 2.653 g/cm3

Unit cell a=5.263 b=5.263 c=4.530 alpha=77.97 beta=77.97 gamma=41.74
Positions (direct):
Ca 0.228 0.228 0.277
P 0.008 0.008 0.879
P 0.794 0.794 0.757
Si 0.470 0.470 0.586


DFT (GGA-PBE) results for an optimized crystal structure of CrGeIr2S.

- Total magnetic moment: 0.1 Bohr magnetons per cell
- E: -28.16 eV for the cell shown
- Symmetry: No. 123
- DOS at the Fermi energy: 1.3259 states/eV/atom
- Formation energy without anion corrections: 1587 meV per atom
- ρ: 9.287 g/cm3

Unit cell a=4.559 b=4.656 c=4.559 alpha=90.00 beta=90.00 gamma=90.00
Last column: magnetic moment on the atom in μB.
Positions (direct):
Cr 0.500 0.500 0.500  0.07
Ge 0.000 0.000 0.000  0.00
Ir 0.000 0.000 0.500  -0.08
Ir 0.500 0.000 0.000  -0.21
S 0.000 0.500 0.000  0.05


DFT (GGA-PBE) results for an optimized crystal structure of AcLa14Al.

- Total magnetic moment: 0.0 Bohr magnetons per cell
- E: -77.24 eV for the cell shown
- Symmetry: No. 123
- DOS at the Fermi energy: 1.3475 states/eV/atom
- DFT formation energy: -25 meV/atom
- ρ: 6.488 g/cm3

Unit cell a=7.372 b=7.372 c=10.354 alpha=90.00 beta=90.00 gamma=90.00
Positions (direct):
Ac 0.875 0.875 0.500
La 0.875 0.875 0.000
La 0.375 0.375 0.000
La 0.875 0.375 0.500
La 0.875 0.375 0.000
La 0.375 0.875 0.500
La 0.375 0.875 0.000
La 0.608 0.142 0.259
La 0.608 0.142 0.741
La 0.142 0.608 0.259
La 0.142 0.608 0.741
La 0.608 0.608 0.259
La 0.608 0.608 0.741
La 0.142 0.142 0.259
La 0.142 0.142 0.741
Al 0.375 0.375 0.500


> Which of these has the lowest ρ?

CaSiP2


> The highest total magnetic moment belongs to which entry?

FeMoRh2


> Which of these has the lowest E?

AcLa14Al


> What is the ρ in the third record?

7.725 g/cm3